[1]
40
Lattice="9.6918 0.0000 0.0000 0.0000 9.6918 0.0000 0.0000 0.0000 9.6918" Properties=species:S:1:pos:R:3 comment="Pr3Sn13Ru4 | Alexandria via LeMat-Bulk | SCAN | single point on PBEsol structure" magnetic_moment_mub_per_fu=0.00 e_form_ev_per_atom=-0.48 mass_density_g_cm3=8.65 crystal_system=cubic vol_a3_per_atom=22.8 pbc="T T T"
Pr 0.0000 2.4230 4.8459
Pr 0.0000 7.2689 4.8459
Pr 2.4230 4.8459 0.0000
Pr 4.8459 0.0000 2.4230
Pr 4.8459 0.0000 7.2689
Pr 7.2689 4.8459 0.0000
Sn 0.0000 0.0000 0.0000
Sn 0.0000 2.9241 1.4977
Sn 0.0000 2.9241 8.1941
Sn 0.0000 6.7677 1.4977
Sn 0.0000 6.7677 8.1941
Sn 1.4977 0.0000 2.9241
Sn 1.4977 0.0000 6.7677
Sn 1.9218 4.8459 3.3482
Sn 1.9218 4.8459 6.3436
Sn 2.9241 1.4977 0.0000
Sn 2.9241 8.1941 0.0000
Sn 3.3482 1.9218 4.8459
Sn 3.3482 7.7700 4.8459
Sn 4.8459 3.3482 1.9218
Sn 4.8459 3.3482 7.7700
Sn 4.8459 4.8459 4.8459
Sn 4.8459 6.3436 1.9218
Sn 4.8459 6.3436 7.7700
Sn 6.3436 1.9218 4.8459
Sn 6.3436 7.7700 4.8459
Sn 6.7677 1.4977 0.0000
Sn 6.7677 8.1941 0.0000
Sn 7.7700 4.8459 3.3482
Sn 7.7700 4.8459 6.3436
Sn 8.1941 0.0000 2.9241
Sn 8.1941 0.0000 6.7677
Ru 2.4230 2.4230 2.4230
Ru 2.4230 2.4230 7.2689
Ru 2.4230 7.2689 2.4230
Ru 2.4230 7.2689 7.2689
Ru 7.2689 2.4230 2.4230
Ru 7.2689 2.4230 7.2689
Ru 7.2689 7.2689 2.4230
Ru 7.2689 7.2689 7.2689

[2]
20
Lattice="7.1359 0.0000 0.0000 0.0000 9.4789 0.0000 0.0000 0.0000 6.4025" Properties=species:S:1:pos:R:3 comment="PrScS3 | Alexandria via LeMat-Bulk | SCAN | single point on PBEsol structure" magnetic_moment_mub_per_fu=0.00 mass_density_g_cm3=4.33 formation_energy_uncorrected_kj_per_mol_fu=-1115 crystal_system=orthorhombic vol_a3_per_atom=21.7 pbc="T T T"
Pr 0.7206 2.3697 0.2472
Pr 2.8474 7.1092 3.4484
Pr 4.2885 2.3697 2.9540
Pr 6.4153 7.1092 6.1553
Sc 0.0000 0.0000 3.2012
Sc 0.0000 4.7395 3.2012
Sc 3.5679 0.0000 0.0000
Sc 3.5679 4.7395 0.0000
S 0.2307 7.1092 2.4039
S 1.3291 5.3092 5.2831
S 1.3291 8.9092 5.2831
S 2.2389 0.5697 2.0818
S 2.2389 4.1697 2.0818
S 3.3372 2.3697 5.6052
S 3.7987 7.1092 0.7973
S 4.8970 5.3092 4.3206
S 4.8970 8.9092 4.3206
S 5.8068 0.5697 1.1194
S 5.8068 4.1697 1.1194
S 6.9051 2.3697 3.9985

[3]
38
Lattice="9.5062 5.4884 2.6320 -9.5062 5.4884 2.6320 0.0000 -10.9768 2.6320" Properties=species:S:1:pos:R:3 comment="Pr4Si3S12 | Alexandria via LeMat-Bulk | SCAN | single point on PBEsol structure" magnetic_moment_mub_per_fu=0.00 mass_density_g_cm3=4.16 formation_energy_uncorrected_kj_per_mol_fu=-3023 crystal_system=trigonal vol_a3_per_atom=21.7 pbc="T T T"
Pr 0.0000 0.0000 0.0000
Pr -2.1466 -7.1504 4.2588
Pr -5.1191 5.4342 4.2588
Pr -4.3871 -0.0542 5.5748
Pr 0.0000 0.0000 3.9479
Pr 2.2405 -3.7723 5.5748
Pr 2.1466 3.8264 5.5748
Pr 7.2657 1.7162 4.2588
Si -7.8742 2.2024 3.8338
Si 2.0297 -7.9204 3.8338
Si -1.6321 -3.2860 5.1498
Si -2.0297 3.0564 5.1498
Si 3.6618 0.2296 5.1498
Si 5.8444 5.7180 3.8338
S -5.1301 0.0497 2.7295
S -6.7926 3.5761 2.6378
S 0.2993 -7.6707 2.6378
S -4.3762 -5.4387 4.0455
S -1.8082 0.9996 1.9812
S 0.0384 -2.0657 1.9812
S -5.7469 -2.5682 5.2450
S -2.7136 -1.9123 3.9538
S -0.6493 -4.7158 3.9291
S 2.5220 -4.4676 2.7295
S 1.7697 1.0661 1.9812
S -3.7593 2.9202 3.9291
S -2.5220 6.5092 4.0455
S -0.2993 3.3062 3.9538
S 3.0129 -1.3939 3.9538
S 2.6081 4.4179 2.7295
S -0.0385 -2.0657 5.9291
S -1.7697 1.0661 5.9291
S 4.4086 1.7956 3.9291
S 6.4933 4.0945 2.6378
S 5.0976 -3.6929 5.2450
S 6.8981 -1.0705 4.0455
S 1.8082 0.9996 5.9291
S 0.6493 6.2611 5.2450

[4]
32
Lattice="7.4739 0.0000 0.0000 0.0000 12.4458 0.0000 -1.5092 0.0000 7.5856" Properties=species:S:1:pos:R:3 comment="Pr2SiS5 | Alexandria via LeMat-Bulk | SCAN | single point on PBEsol structure" magnetic_moment_mub_per_fu=0.00 mass_density_g_cm3=4.43 formation_energy_uncorrected_kj_per_mol_fu=-1398 crystal_system=monoclinic vol_a3_per_atom=22.1 pbc="T T T"
Pr 1.0104 2.0537 1.0124
Pr 0.2558 4.1692 4.8052
Pr 1.7219 7.4124 0.3124
Pr 0.9673 11.2563 4.1052
Pr 4.9975 1.1895 3.4804
Pr 4.2429 5.0334 7.2731
Pr 5.7089 8.2766 2.7804
Pr 4.9544 10.3921 6.5732
Si 1.5839 7.6759 4.5024
Si 2.3385 10.9928 0.7096
Si 3.6262 1.4530 6.8760
Si 4.3808 4.7699 3.0832
S -0.1174 8.7621 5.2686
S 0.6372 9.9066 1.4758
S 0.3011 1.5021 3.7885
S -0.4535 4.7208 7.5812
S 0.7072 6.5658 2.9132
S -0.0474 12.1029 6.7060
S 2.7365 0.0385 2.1390
S 1.9819 6.1844 5.9318
S 2.0911 2.8644 7.2155
S 2.8457 3.3585 3.4227
S 3.1191 9.0873 4.1628
S 3.8737 9.5814 0.3701
S 3.9829 6.2614 1.6538
S 3.2283 12.4073 5.4466
S 6.0121 0.3429 0.8796
S 5.2575 5.8800 4.6724
S 6.4182 7.7250 0.0043
S 5.6636 10.9437 3.7971
S 5.3275 2.5392 6.1097
S 6.0821 3.6837 2.3169